{
  "formula": "HfCd2Ru",
  "functional": "PBE-GGA",
  "state": "relaxed",
  "lattice_angstrom": [[7.9551, 0.0000, 0.0000], [0.0000, 7.9551, 0.0000], [3.9776, 3.9776, 2.6297]],
  "species": ["Cd", "Hf", "Hf", "Ru", "Ru", "Cd", "Cd", "Cd"],
  "fractional_positions": [[0.3750, 0.4099, 0.7500], [0.0000, 0.0000, 0.0000], [0.7500, 0.2500, 0.5000], [0.2500, 0.7500, 0.5000], [0.5000, 0.5000, 0.0000], [0.5901, 0.1250, 0.2500], [0.1599, 0.6250, 0.2500], [0.8750, 0.8401, 0.7500]],
  "dft_energy_ev_per_atom": -4.82,
  "spacegroup": "I-42d (122)"
}


{
  "formula": "HfCdRu2",
  "functional": "PBE-GGA",
  "state": "relaxed",
  "lattice_angstrom": [[3.2467, 0.0000, 0.0000], [0.0000, 3.2467, 0.0000], [0.0000, 0.0000, 6.4482]],
  "species": ["Hf", "Cd", "Ru", "Ru"],
  "fractional_positions": [[0.5000, 0.5000, 0.0000], [0.5000, 0.5000, 0.5000], [0.0000, 0.0000, 0.2381], [0.0000, 0.0000, 0.7619]],
  "dft_energy_ev_per_atom": -7.55,
  "spacegroup": "P4/mmm (123)"
}


{
  "formula": "HfCdRu2",
  "functional": "PBE-GGA",
  "state": "relaxed",
  "lattice_angstrom": [[3.3241, 0.0000, 0.0000], [0.0000, 4.4885, 0.0000], [0.0000, 0.0000, 4.4885]],
  "species": ["Ru", "Ru", "Cd", "Hf"],
  "fractional_positions": [[0.0000, 0.5000, 0.0000], [0.0000, 0.0000, 0.5000], [0.5000, 0.5000, 0.5000], [0.5000, 0.0000, 0.0000]],
  "dft_energy_ev_per_atom": -7.53,
  "spacegroup": "P4/mmm (123)"
}


{
  "formula": "HfCdRu2",
  "functional": "PBE-GGA",
  "state": "relaxed",
  "lattice_angstrom": [[4.1437, 0.0000, 0.0000], [0.0000, 4.1437, 0.0000], [2.0718, 2.0718, 9.0577]],
  "species": ["Hf", "Ru", "Ru", "Cd", "Hf", "Ru", "Ru", "Cd"],
  "fractional_positions": [[0.0000, 0.0000, 0.0000], [0.6946, 0.1250, 0.2500], [0.0554, 0.6250, 0.2500], [0.5000, 0.5000, 0.0000], [0.7500, 0.2500, 0.5000], [0.8750, 0.9446, 0.7500], [0.3750, 0.3054, 0.7500], [0.2500, 0.7500, 0.5000]],
  "dft_energy_ev_per_atom": -6.84,
  "spacegroup": "I-42d (122)"
}